The following is a DFT calculation (PBE) of a relaxed structure of Nb3CI.

Cell and atoms, written as extended XYZ:
```
5
Lattice="-4.4007 -0.2251 -0.1980 0.2735 -4.2066 -1.2985 -0.1225 -1.3078 4.2108" Properties=species:S:1:pos:R:3 pbc="T T T"
I -2.1249 -2.8697 1.3571
Nb -2.2004 -0.1125 -0.0990
Nb -0.0613 -0.6539 2.1054
Nb 0.1368 -2.1033 -0.6493
C 0.0000 0.0000 0.0000
```

## Properties
total magnetization	0.00	μB per formula unit
formation energy (no corrections)	0.424	eV/atom
SG	Pm-3m (221)
DFT total energy	-7.77	eV/atom

---

The following is a DFT calculation (PBE) of a relaxed structure of NbC3I.

Cell and atoms, written as extended XYZ:
```
5
Lattice="-4.2560 0.6168 0.5780 -0.8163 -3.7695 -1.9881 0.2195 -2.0587 3.8133" Properties=species:S:1:pos:R:3 pbc="T T T"
Nb 0.0000 0.0000 0.0000
C -0.4081 -1.8847 -0.9940
C -2.1280 0.3084 0.2890
C 0.1097 -1.0294 1.9066
I -2.4264 -2.6057 1.2016
```

## Properties
total magnetization	0.00	μB per formula unit
formation energy (no corrections)	2.266	eV/atom
SG	Pm-3m (221)
DFT total energy	-5.59	eV/atom

---

The following is a DFT calculation (PBE) of a relaxed structure of Nb3CI.

Cell and atoms, written as extended XYZ:
```
5
Lattice="5.0179 0.0000 0.0000 0.0000 5.0179 0.0000 0.0000 0.0000 5.0179" Properties=species:S:1:pos:R:3 pbc="T T T"
C 2.5090 2.5090 2.5090
Nb 0.0000 2.5090 0.0000
Nb 0.0000 0.0000 2.5090
Nb 2.5090 0.0000 0.0000
I 0.0000 0.0000 0.0000
```

## Properties
total magnetization	2.33	μB per formula unit
formation energy (no corrections)	3.032	eV/atom
SG	Pm-3m (221)
DFT total energy	-5.17	eV/atom

---

The following is a DFT calculation (PBE) of a relaxed structure of NbC3I.

Cell and atoms, written as extended XYZ:
```
5
Lattice="4.0577 0.0000 0.0000 0.0000 4.0577 0.0000 0.0000 0.0000 4.0577" Properties=species:S:1:pos:R:3 pbc="T T T"
C 2.0288 0.0000 0.0000
C 0.0000 0.0000 2.0288
C 0.0000 2.0288 0.0000
Nb 2.0288 2.0288 2.0288
I 0.0000 0.0000 0.0000
```

## Properties
total magnetization	0.00	μB per formula unit
formation energy (no corrections)	3.116	eV/atom
SG	Pm-3m (221)
DFT total energy	-4.74	eV/atom

---

The following is a DFT calculation (PBE) of a relaxed structure of NbC2I.

Cell and atoms, written as extended XYZ:
```
8
Lattice="5.5406 0.0000 0.0000 0.0000 5.5406 0.0000 2.7703 2.7703 5.0236" Properties=species:S:1:pos:R:3 pbc="T T T"
C 6.9257 6.4028 3.7677
C 3.6325 1.3851 1.2559
C 4.1554 4.6783 3.7677
C 1.9080 4.1554 1.2559
Nb 2.7703 2.7703 0.0000
Nb 2.7703 5.5406 2.5118
I 0.0000 0.0000 0.0000
I 5.5406 2.7703 2.5118
```

## Properties
total magnetization	0.00	μB per formula unit
formation energy (no corrections)	1.454	eV/atom
SG	I-42d (122)
DFT total energy	-6.06	eV/atom

---

The following is a DFT calculation (PBE) of a relaxed structure of NbCI2O.

Cell and atoms, written as extended XYZ:
```
5
Lattice="5.2754 0.0000 0.0000 0.0000 5.2754 0.0000 0.0000 0.0000 3.3238" Properties=species:S:1:pos:R:3 pbc="T T T"
I 0.0000 2.6377 0.0000
I 2.6377 0.0000 0.0000
Nb 2.6377 2.6377 1.6619
C 0.0000 0.0000 0.0000
O 0.0000 0.0000 1.6619
```

## Properties
total magnetization	2.13	μB per formula unit
formation energy (no corrections)	1.204	eV/atom
SG	P4/mmm (123)
DFT total energy	-4.27	eV/atom

---

| no. | E above lowest polymorph (meV per atom) |
| --- | --- |
| 1 | 0 |
| 2 | 0 |
| 3 | 2608 |
| 4 | 851 |
| 5 | 0 |
| 6 | 549 |